First-principles (PBE with a Hubbard U) data for LiNiBO3 after structural relaxation, as listed in Alexandria via LeMat-Bulk.

a = 2.738 Å, b = 5.123 Å, c = 8.333 Å
α = 95.86°, β = 90.00°, γ = 90.00°
Element x y z (fractional)
Li 0.750 0.979 0.876
Li 0.250 0.021 0.124
O 0.750 0.274 0.064
O 0.250 0.726 0.936
O 0.750 0.171 0.488
O 0.250 0.204 0.741
O 0.250 0.829 0.512
O 0.750 0.796 0.259
B 0.750 0.875 0.420
B 0.250 0.125 0.580
Ni 0.750 0.464 0.855
Ni 0.250 0.536 0.145

Polymorph energy (0 for the lowest one): 0.2343 eV/atom
Total magnetic moment: 2.0 μB per formula unit
Raw total energy: -72.5 eV/cell